--- one ---
# LiPt2Rh, relaxed, DFT PBEsol
# * N(E_F): 2.93 states/eV/cell
# * crystal system: monoclinic
data_LiPt2Rh
_chemical_formula_sum 'Li1 Pt2 Rh1'
_cell_length_a 4.6669
_cell_length_b 2.6788
_cell_length_c 4.7035
_cell_angle_alpha 90.00
_cell_angle_beta 110.17
_cell_angle_gamma 90.00
_space_group_name_H-M_alt 'P 1 2/m 1'
_space_group_IT_number 10
loop_
_space_group_symop_operation_xyz
'x,y,z'
'-x,-y,-z'
'-x,y,-z'
'x,-y,z'
loop_
_atom_site_label
_atom_site_fract_x
_atom_site_fract_y
_atom_site_fract_z
_atom_site_occupancy
Li1 0.0000 0.0000 0.0000 1
Pt1 0.5000 0.0000 0.5000 1
Pt2 0.5000 0.5000 0.0000 1
Rh1 0.0000 0.5000 0.5000 1

---

--- two ---
# LiPt2Rh, relaxed, DFT PBEsol
# * N(E_F): 8.27 states/eV/cell
# * crystal system: monoclinic
data_LiPt2Rh
_chemical_formula_sum 'Li2 Pt4 Rh2'
_cell_length_a 8.9570
_cell_length_b 2.6850
_cell_length_c 4.6693
_cell_angle_alpha 90.00
_cell_angle_beta 98.51
_cell_angle_gamma 90.00
_space_group_name_H-M_alt 'C 1 2/m 1'
_space_group_IT_number 12
loop_
_space_group_symop_operation_xyz
'x,y,z'
'-x,-y,-z'
'-x,y,-z'
'x,-y,z'
'x+1/2,y+1/2,z'
'-x+1/2,-y+1/2,-z'
'-x+1/2,y+1/2,-z'
'x+1/2,-y+1/2,z'
loop_
_atom_site_label
_atom_site_fract_x
_atom_site_fract_y
_atom_site_fract_z
_atom_site_occupancy
Li1 0.0000 0.0000 0.0000 1
Pt1 0.2476 0.0000 0.7488 1
Rh1 0.0000 0.5000 0.5000 1

---

--- three ---
# LiPt2Rh, relaxed, DFT PBEsol
# * N(E_F): 5.50 states/eV/cell
# * crystal system: orthorhombic
data_LiPt2Rh
_chemical_formula_sum 'Li2 Pt4 Rh2'
_cell_length_a 5.3783
_cell_length_b 7.5794
_cell_length_c 2.6866
_cell_angle_alpha 90.00
_cell_angle_beta 90.00
_cell_angle_gamma 90.00
_space_group_name_H-M_alt 'C m m m'
_space_group_IT_number 65
_space_group_name_Hall '-C 2 2'
loop_
_atom_site_label
_atom_site_fract_x
_atom_site_fract_y
_atom_site_fract_z
_atom_site_occupancy
Li1 0.0000 0.0000 0.0000 1
Pt1 0.2500 0.2500 0.5000 1
Rh1 0.0000 0.5000 0.0000 1

---

--- four ---
# LiPt2Rh, relaxed, DFT PBEsol
# * N(E_F): 4.21 states/eV/cell
# * crystal system: orthorhombic
data_LiPt2Rh
_chemical_formula_sum 'Li1 Pt2 Rh1'
_cell_length_a 2.6886
_cell_length_b 3.8686
_cell_length_c 5.3122
_cell_angle_alpha 90.00
_cell_angle_beta 90.00
_cell_angle_gamma 90.00
_space_group_name_H-M_alt 'P m m m'
_space_group_IT_number 47
loop_
_space_group_symop_operation_xyz
'x,y,z'
'-x,-y,-z'
'-x,-y,z'
'x,y,-z'
'x,-y,-z'
'-x,y,z'
'-x,y,-z'
'x,-y,z'
loop_
_atom_site_label
_atom_site_fract_x
_atom_site_fract_y
_atom_site_fract_z
_atom_site_occupancy
Li1 0.0000 0.0000 0.0000 1
Pt1 0.5000 0.5000 0.2481 1
Rh1 0.0000 0.0000 0.5000 1

---

Energy above the most stable structure, in kJ/mol of atoms: one 7.8; two 14.6; three 0.0; four 14.0

---

--- one ---
# Li2RuPt, relaxed, DFT PBEsol
# * N(E_F): 18.99 states/eV/cell
# * crystal system: cubic
data_Li2RuPt
_chemical_formula_sum 'Li8 Ru4 Pt4'
_cell_length_a 5.7684
_cell_length_b 5.7684
_cell_length_c 5.7684
_cell_angle_alpha 90.00
_cell_angle_beta 90.00
_cell_angle_gamma 90.00
_space_group_name_H-M_alt 'F m -3 m'
_space_group_IT_number 225
_space_group_name_Hall '-F 4 2 3'
loop_
_atom_site_label
_atom_site_fract_x
_atom_site_fract_y
_atom_site_fract_z
_atom_site_occupancy
Li1 0.2500 0.2500 0.2500 1
Ru1 0.0000 0.0000 0.0000 1
Pt1 0.0000 0.0000 0.5000 1

---

--- two ---
# Li2RuPt, relaxed, DFT PBEsol
# * N(E_F): 4.31 states/eV/cell
# * crystal system: orthorhombic
data_Li2RuPt
_chemical_formula_sum 'Li4 Ru2 Pt2'
_cell_length_a 2.7279
_cell_length_b 4.4672
_cell_length_c 8.7905
_cell_angle_alpha 90.00
_cell_angle_beta 90.00
_cell_angle_gamma 90.00
_space_group_name_H-M_alt 'C m m m'
_space_group_IT_number 65
_space_group_name_Hall '-C 2 2'
loop_
_atom_site_label
_atom_site_fract_x
_atom_site_fract_y
_atom_site_fract_z
_atom_site_occupancy
Li1 0.0000 0.0000 0.2481 1
Ru1 0.0000 0.5000 0.5000 1
Pt1 0.0000 0.5000 0.0000 1

---

--- three ---
# Li2RuPt, relaxed, DFT PBEsol
# * N(E_F): 6.01 states/eV/cell
# * crystal system: orthorhombic
data_Li2RuPt
_chemical_formula_sum 'Li4 Ru2 Pt2'
_cell_length_a 2.6903
_cell_length_b 4.3162
_cell_length_c 8.7562
_cell_angle_alpha 90.00
_cell_angle_beta 90.00
_cell_angle_gamma 90.00
_space_group_name_H-M_alt 'I m m 2'
_space_group_IT_number 44
loop_
_space_group_symop_operation_xyz
'x,y,z'
'-x,-y,z'
'-x,y,z'
'x,-y,z'
'x+1/2,y+1/2,z+1/2'
'-x+1/2,-y+1/2,z+1/2'
'-x+1/2,y+1/2,z+1/2'
'x+1/2,-y+1/2,z+1/2'
loop_
_atom_site_label
_atom_site_fract_x
_atom_site_fract_y
_atom_site_fract_z
_atom_site_occupancy
Li1 0.0000 0.0000 0.0000 1
Li2 0.0000 0.5000 0.2591 1
Ru1 0.0000 0.0000 0.5003 1
Pt1 0.0000 0.5000 0.7496 1

---

Energy above the most stable structure, in kJ/mol of atoms: one 30.0; two 0.0; three 14.6

---

--- one ---
# LiRuPt2, relaxed, DFT PBEsol
# * N(E_F): 6.05 states/eV/cell
# * crystal system: orthorhombic
data_LiRuPt2
_chemical_formula_sum 'Li2 Ru2 Pt4'
_cell_length_a 5.3976
_cell_length_b 7.6101
_cell_length_c 2.6609
_cell_angle_alpha 90.00
_cell_angle_beta 90.00
_cell_angle_gamma 90.00
_space_group_name_H-M_alt 'C m m m'
_space_group_IT_number 65
_space_group_name_Hall '-C 2 2'
loop_
_atom_site_label
_atom_site_fract_x
_atom_site_fract_y
_atom_site_fract_z
_atom_site_occupancy
Li1 0.0000 0.0000 0.0000 1
Ru1 0.0000 0.5000 0.0000 1
Pt1 0.2500 0.2500 0.5000 1

---

--- two ---
# LiRuPt2, relaxed, DFT PBEsol
# * N(E_F): 6.02 states/eV/cell
# * crystal system: tetragonal
data_LiRuPt2
_chemical_formula_sum 'Li2 Ru2 Pt4'
_cell_length_a 3.7861
_cell_length_b 3.7861
_cell_length_c 7.5769
_cell_angle_alpha 90.00
_cell_angle_beta 90.00
_cell_angle_gamma 90.00
_space_group_name_H-M_alt 'I -4 m 2'
_space_group_IT_number 119
_space_group_name_Hall 'I -4 -2'
loop_
_atom_site_label
_atom_site_fract_x
_atom_site_fract_y
_atom_site_fract_z
_atom_site_occupancy
Li1 0.0000 0.0000 0.0000 1
Ru1 0.0000 0.5000 0.7500 1
Pt1 0.0000 0.0000 0.5000 1
Pt2 0.0000 0.5000 0.2500 1

---

Energy above the most stable structure, in kJ/mol of atoms: one 0.0; two 15.3

---

--- one ---
# LiRuPt2, relaxed, DFT PBEsol
# * N(E_F): 4.45 states/eV/cell
# * crystal system: tetragonal
data_LiRuPt2
_chemical_formula_sum 'Li1 Ru1 Pt2'
_cell_length_a 3.2024
_cell_length_b 3.2024
_cell_length_c 5.3981
_cell_angle_alpha 90.00
_cell_angle_beta 90.00
_cell_angle_gamma 90.00
_space_group_name_H-M_alt 'P 4 m m'
_space_group_IT_number 99
loop_
_space_group_symop_operation_xyz
'x,y,z'
'-y,x,z'
'-x,-y,z'
'y,-x,z'
'-x,y,z'
'y,x,z'
'x,-y,z'
'-y,-x,z'
loop_
_atom_site_label
_atom_site_fract_x
_atom_site_fract_y
_atom_site_fract_z
_atom_site_occupancy
Li1 0.0000 0.0000 0.0000 1
Ru1 0.5000 0.5000 0.7376 1
Pt1 0.0000 0.0000 0.5019 1
Pt2 0.5000 0.5000 0.2230 1

---

--- two ---
# LiRuPt2, relaxed, DFT PBEsol
# * N(E_F): 2.91 states/eV/cell
# * crystal system: tetragonal
data_LiRuPt2
_chemical_formula_sum 'Li1 Ru1 Pt2'
_cell_length_a 2.7040
_cell_length_b 2.7040
_cell_length_c 7.5978
_cell_angle_alpha 90.00
_cell_angle_beta 90.00
_cell_angle_gamma 90.00
_space_group_name_H-M_alt 'P 4 m m'
_space_group_IT_number 99
loop_
_space_group_symop_operation_xyz
'x,y,z'
'-y,x,z'
'-x,-y,z'
'y,-x,z'
'-x,y,z'
'y,x,z'
'x,-y,z'
'-y,-x,z'
loop_
_atom_site_label
_atom_site_fract_x
_atom_site_fract_y
_atom_site_fract_z
_atom_site_occupancy
Li1 0.0000 0.0000 0.0000 1
Ru1 0.5000 0.5000 0.7423 1
Pt1 0.0000 0.0000 0.5018 1
Pt2 0.5000 0.5000 0.2318 1

---

--- three ---
# LiRuPt2, relaxed, DFT PBEsol
# * N(E_F): 5.15 states/eV/cell
# * crystal system: tetragonal
data_LiRuPt2
_chemical_formula_sum 'Li1 Ru1 Pt2'
_cell_length_a 3.8191
_cell_length_b 3.8191
_cell_length_c 3.7382
_cell_angle_alpha 90.00
_cell_angle_beta 90.00
_cell_angle_gamma 90.00
_space_group_name_H-M_alt 'P 4/m m m'
_space_group_IT_number 123
_space_group_name_Hall '-P 4 2'
loop_
_atom_site_label
_atom_site_fract_x
_atom_site_fract_y
_atom_site_fract_z
_atom_site_occupancy
Li1 0.0000 0.0000 0.0000 1
Ru1 0.5000 0.5000 0.0000 1
Pt1 0.0000 0.5000 0.5000 1

---

Energy above the most stable structure, in kJ/mol of atoms: one 17.1; two 8.6; three 0.0

---

--- one ---
# LiPtSe, relaxed, DFT PBEsol
# * N(E_F): 3.01 states/eV/cell
# * crystal system: tetragonal
data_LiPtSe
_chemical_formula_sum 'Li2 Pt2 Se2'
_cell_length_a 3.4288
_cell_length_b 3.4288
_cell_length_c 7.6390
_cell_angle_alpha 90.00
_cell_angle_beta 90.00
_cell_angle_gamma 90.00
_space_group_name_H-M_alt 'I 4 m m'
_space_group_IT_number 107
_space_group_name_Hall 'I 4 -2'
loop_
_atom_site_label
_atom_site_fract_x
_atom_site_fract_y
_atom_site_fract_z
_atom_site_occupancy
Li1 0.0000 0.0000 0.0000 1
Pt1 0.0000 0.0000 0.6563 1
Se1 0.0000 0.0000 0.3303 1

---

--- two ---
# LiPtSe, relaxed, DFT PBEsol
# * N(E_F): 0.84 states/eV/cell
# * crystal system: hexagonal
data_LiPtSe
_chemical_formula_sum 'Li1 Pt1 Se1'
_cell_length_a 4.2971
_cell_length_b 4.2971
_cell_length_c 2.9409
_cell_angle_alpha 90.00
_cell_angle_beta 90.00
_cell_angle_gamma 120.00
_space_group_name_H-M_alt 'P -6 m 2'
_space_group_IT_number 187
_space_group_name_Hall 'P -6 2'
loop_
_atom_site_label
_atom_site_fract_x
_atom_site_fract_y
_atom_site_fract_z
_atom_site_occupancy
Li1 0.0000 0.0000 0.0000 1
Pt1 0.3333 0.6667 0.5000 1
Se1 0.6667 0.3333 0.5000 1

---

--- three ---
# LiPtSe, relaxed, DFT PBEsol
# * N(E_F): 3.13 states/eV/cell
# * crystal system: tetragonal
data_LiPtSe
_chemical_formula_sum 'Li2 Pt2 Se2'
_cell_length_a 2.8742
_cell_length_b 2.8742
_cell_length_c 11.2607
_cell_angle_alpha 90.00
_cell_angle_beta 90.00
_cell_angle_gamma 90.00
_space_group_name_H-M_alt 'I 4 m m'
_space_group_IT_number 107
_space_group_name_Hall 'I 4 -2'
loop_
_atom_site_label
_atom_site_fract_x
_atom_site_fract_y
_atom_site_fract_z
_atom_site_occupancy
Li1 0.0000 0.0000 0.0000 1
Pt1 0.0000 0.0000 0.6570 1
Se1 0.0000 0.0000 0.3205 1

---

Energy above the most stable structure, in kJ/mol of atoms: one 12.6; two 0.0; three 26.5

---

--- one ---
# SrLi2Pt, relaxed, DFT PBEsol
# * N(E_F): 3.39 states/eV/cell
# * crystal system: trigonal
data_SrLi2Pt
_chemical_formula_sum 'Sr3 Li6 Pt3'
_cell_length_a 4.3947
_cell_length_b 4.3947
_cell_length_c 15.5844
_cell_angle_alpha 90.00
_cell_angle_beta 90.00
_cell_angle_gamma 120.00
_space_group_name_H-M_alt 'R 3 m'
_space_group_IT_number 160
_space_group_name_Hall 'R 3 -2"'
loop_
_atom_site_label
_atom_site_fract_x
_atom_site_fract_y
_atom_site_fract_z
_atom_site_occupancy
Sr1 0.0000 0.0000 0.0000 1
Li1 0.0000 0.0000 0.5196 1
Li2 0.0000 0.0000 0.8095 1
Pt1 0.0000 0.0000 0.2043 1

---

--- two ---
# SrLi2Pt, relaxed, DFT PBEsol
# * N(E_F): 1.36 states/eV/cell
# * crystal system: orthorhombic
data_SrLi2Pt
_chemical_formula_sum 'Sr1 Li2 Pt1'
_cell_length_a 3.1574
_cell_length_b 3.9872
_cell_length_c 6.1259
_cell_angle_alpha 90.00
_cell_angle_beta 90.00
_cell_angle_gamma 90.00
_space_group_name_H-M_alt 'P m m m'
_space_group_IT_number 47
loop_
_space_group_symop_operation_xyz
'x,y,z'
'-x,-y,-z'
'-x,-y,z'
'x,y,-z'
'x,-y,-z'
'-x,y,z'
'-x,y,-z'
'x,-y,z'
loop_
_atom_site_label
_atom_site_fract_x
_atom_site_fract_y
_atom_site_fract_z
_atom_site_occupancy
Sr1 0.0000 0.0000 0.0000 1
Li1 0.5000 0.5000 0.3240 1
Pt1 0.0000 0.0000 0.5000 1

---

Energy above the most stable structure, in kJ/mol of atoms: one 0.0; two 22.6